Hf2AlSe, relaxed, DFT PBE; raw formation energy = -2.2 eV/f.u.; final energy = -7.332 eV/atom; SG = R3m, No. 160; volume = 80.01 Å³/cell; crystal system = trigonal
1.0
-1.853 1.807 -2.141
-2.997 -1.137 -1.000
-5.174 4.051 5.262
Hf Al Se
2 1 1
Direct
0.079 0.079 0.764 Hf
0.255 0.255 0.236 Hf
0.500 0.500 0.501 Al
0.667 0.667 0.999 Se

***

HfAlSe, relaxed, DFT PBE; raw formation energy = -2.3 eV/f.u.; final energy = -6.489 eV/atom; SG = P4/nmm, No. 129; volume = 116.82 Å³/cell; crystal system = tetragonal
1.0
-3.495 -0.893 -0.777
1.153 -3.114 -1.609
-0.619 -4.109 7.508
Al Se Hf
2 2 2
Direct
0.000 0.000 0.000 Al
0.500 0.500 0.000 Al
0.000 0.500 0.383 Se
0.500 0.000 0.617 Se
0.000 0.500 0.725 Hf
0.500 0.000 0.275 Hf

***

Question: Look up the volume of the second one.
Answer: 116.82 Å³/cell

***

Question: Look up the volume of the first one.
Answer: 80.01 Å³/cell

***

Question: What is the formula in the second record?
Answer: HfAlSe